Material: K2Cu3HgF12
Method: DFT, PBE
State: relaxed

abc: 7.135 7.135 7.135
angles: 62.71 62.71 62.71
Atoms (fractional coordinates):
1 F 0.095 0.709 0.709
2 F 0.709 0.095 0.709
3 F 0.885 0.394 0.885
4 F 0.115 0.115 0.606
5 F 0.291 0.291 0.905
6 F 0.394 0.885 0.885
7 F 0.291 0.905 0.291
8 F 0.709 0.709 0.095
9 F 0.606 0.115 0.115
10 F 0.905 0.291 0.291
11 F 0.885 0.885 0.394
12 F 0.115 0.606 0.115
13 K 0.380 0.380 0.380
14 K 0.620 0.620 0.620
15 Cu 0.000 0.000 0.500
16 Cu 0.500 0.000 0.000
17 Cu 0.000 0.500 0.000
18 Hg 0.000 0.000 0.000

Formation energy from raw total energies, eV/f.u.: -32.08

=====

Material: AlOs2Au
Method: DFT, PBE
State: relaxed

abc: 2.753 2.753 9.164
angles: 90.00 90.00 117.74
Atoms (fractional coordinates):
1 Os 0.000 0.000 0.024
2 Os 0.000 0.000 0.476
3 Al 0.500 0.500 0.250
4 Au 0.500 0.500 0.750

ΔH_f (0 K), eV/atom: 0.307

=====

Material: ZrScFe
Method: DFT, PBE
State: relaxed

abc: 3.253 5.727 6.720
angles: 72.65 75.99 73.54
Atoms (fractional coordinates):
1 Sc 0.971 0.573 0.363
2 Sc 0.648 0.086 0.496
3 Zr 0.218 0.625 0.815
4 Zr 0.401 0.034 0.043
5 Fe 0.939 0.251 0.748
6 Fe 0.680 0.407 0.110

ΔH_f (0 K), eV/atom: -0.084

=====

Material: Y2ZnNi12H3
Method: DFT, PBE
State: relaxed

abc: 6.889 6.889 6.889
angles: 56.45 56.45 56.45
Atoms (fractional coordinates):
1 Ni 0.277 0.901 0.277
2 Ni 0.139 0.139 0.541
3 Ni 0.901 0.277 0.277
4 Ni 0.541 0.139 0.139
5 Ni 0.861 0.459 0.861
6 Ni 0.139 0.541 0.139
7 Ni 0.861 0.861 0.459
8 Ni 0.723 0.099 0.723
9 Ni 0.277 0.277 0.901
10 Ni 0.723 0.723 0.099
11 Ni 0.459 0.861 0.861
12 Ni 0.099 0.723 0.723
13 Y 0.598 0.598 0.598
14 Y 0.402 0.402 0.402
15 H 0.500 0.000 0.000
16 H 0.000 0.000 0.500
17 H 0.000 0.500 0.000
18 Zn 0.000 0.000 0.000

Total energy, eV/cell: -94.782

=====

Material: Y5Zn24
Method: DFT, PBE
State: relaxed

abc: 8.720 8.720 8.720
angles: 109.47 109.47 109.47
Atoms (fractional coordinates):
1 Zn 0.666 0.291 0.666
2 Zn 0.000 0.624 0.334
3 Zn 0.000 0.806 0.630
4 Zn 0.000 0.334 0.624
5 Zn 0.376 0.376 0.709
6 Zn 0.194 0.824 0.194
7 Zn 0.630 0.000 0.806
8 Zn 0.376 0.709 0.376
9 Zn 0.709 0.376 0.376
10 Zn 0.176 0.370 0.370
11 Zn 0.806 0.000 0.630
12 Zn 0.624 0.000 0.334
13 Zn 0.194 0.194 0.824
14 Zn 0.334 0.624 0.000
15 Zn 0.630 0.806 0.000
16 Zn 0.824 0.194 0.194
17 Zn 0.291 0.666 0.666
18 Zn 0.806 0.630 0.000
19 Zn 0.666 0.666 0.291
20 Zn 0.370 0.176 0.370
21 Zn 0.334 0.000 0.624
22 Zn 0.370 0.370 0.176
23 Zn 0.624 0.334 0.000
24 Zn 0.000 0.630 0.806
25 Y 0.000 0.000 0.391
26 Y 0.609 0.609 0.609
27 Y 0.000 0.391 0.000
28 Y 0.391 0.000 0.000
29 Y 0.000 0.000 0.000

ΔH_f (0 K), eV/atom: -0.212

=====

Material: Dy5Y2Mg
Method: DFT, PBE
State: relaxed

abc: 7.021 7.021 7.027
angles: 119.97 119.98 90.00
Atoms (fractional coordinates):
1 Y 0.222 0.723 0.444
2 Y 0.723 0.222 0.444
3 Mg 0.222 0.222 0.445
4 Dy 0.722 0.222 0.944
5 Dy 0.722 0.722 0.944
6 Dy 0.222 0.722 0.944
7 Dy 0.222 0.222 0.945
8 Dy 0.722 0.722 0.444

ΔH_f (0 K), eV/atom: 0.022

=====

Material: Zn2InAgBr6
Method: DFT, PBE
State: relaxed

abc: 6.930 10.160 10.160
angles: 92.40 81.16 81.16
Atoms (fractional coordinates):
1 Br 0.204 0.955 0.792
2 Br 0.548 0.427 0.298
3 Br 0.578 0.165 0.590
4 Br 0.422 0.835 0.410
5 Br 0.796 0.045 0.208
6 Br 0.704 0.792 0.955
7 Br 0.922 0.410 0.835
8 Br 0.048 0.298 0.427
9 Br 0.452 0.573 0.702
10 Br 0.952 0.702 0.573
11 Br 0.078 0.590 0.165
12 Br 0.296 0.208 0.045
13 Zn 0.235 0.375 0.226
14 Zn 0.735 0.226 0.375
15 Zn 0.765 0.625 0.774
16 Zn 0.265 0.774 0.625
17 In 0.250 0.895 0.105
18 In 0.750 0.105 0.895
19 Ag 0.250 0.324 0.676
20 Ag 0.750 0.676 0.324

Formation energy from raw total energies, eV/f.u.: -7.09

=====

Material: NpFeTc2P2
Method: DFT, PBE
State: relaxed

abc: 3.942 5.738 7.855
angles: 90.00 90.00 90.00
Atoms (fractional coordinates):
1 P 0.000 0.271 0.899
2 P 0.500 0.260 0.328
3 P 0.500 0.760 0.672
4 P 0.000 0.771 0.101
5 Tc 0.000 0.880 0.817
6 Tc 0.000 0.380 0.183
7 Tc 0.500 0.532 0.932
8 Tc 0.500 0.032 0.068
9 Np 0.000 0.439 0.571
10 Np 0.000 0.939 0.429
11 Fe 0.500 0.164 0.710
12 Fe 0.500 0.664 0.290

ΔH_f (0 K), eV/atom: -0.475